Record 1
PBE Pa2CrRh, relaxed; E = -34.8 eV per cell; space group = R-3m, No. 166; volume = 19.56 A^3/atom; mass density = 13.1 g/cm³; total moment = 0.000 μB/cell; formation energy = 284 meV per atom
1.0
1.542 0.890 9.495
-1.542 0.890 9.495
0.000 -1.781 9.495
Pa Cr Rh
2 1 1
direct
0.090 0.090 0.090 Pa
0.910 0.910 0.910 Pa
0.500 0.500 0.500 Cr
0.000 0.000 0.000 Rh

---

Record 2
PBE PaCrRu2, relaxed; E = -38.1 eV per cell; space group = P4/mmm, No. 123; volume = 16.02 A^3/atom; mass density = 12.6 g/cm³; total moment = 0.222 μB/cell; formation energy = -98 meV per atom; ΔE to the lowest computed polymorph = 51 kJ/mol of formula units
1.0
2.974 0.000 0.000
0.000 2.974 0.000
0.000 0.000 7.244
Pa Cr Ru
1 1 2
direct
0.000 0.000 0.000 Pa
0.000 0.000 0.500 Cr
0.500 0.500 0.299 Ru
0.500 0.500 0.701 Ru

---

Record 3
PBE Pa2CrRu, relaxed; E = -36.4 eV per cell; space group = R-3m, No. 166; volume = 19.06 A^3/atom; mass density = 13.4 g/cm³; total moment = 0.274 μB/cell; formation energy = 361 meV per atom; ΔE to the lowest computed polymorph = 121 kJ/mol of formula units
1.0
1.528 0.882 9.426
-1.528 0.882 9.426
0.000 -1.764 9.426
Pa Cr Ru
2 1 1
direct
0.084 0.084 0.084 Pa
0.916 0.916 0.916 Pa
0.000 0.000 0.000 Cr
0.500 0.500 0.500 Ru